# Nd6Ir2PbBr3, relaxed, DFT PBE
# **Total moment**: 0.0 μB per cell
# **Uncorrected formation energy**: -1.014 eV/atom
# **Crystal system**: monoclinic
# **Electronic total energy**: -5.6018 eV/atom
data_Nd6Ir2PbBr3
_chemical_formula_sum 'Nd12 Ir4 Pb2 Br6'
_cell_length_a 19.8465
_cell_length_b 4.2636
_cell_length_c 9.1902
_cell_angle_alpha 90.00
_cell_angle_beta 106.84
_cell_angle_gamma 90.00
_symmetry_space_group_name_H-M 'C 1 2/m 1'
_symmetry_Int_Tables_number 12
_symmetry_space_group_name_Hall '-C 2y'
loop_
_atom_site_label
_atom_site_fract_x
_atom_site_fract_y
_atom_site_fract_z
Nd1 0.0255 0.0000 0.2596
Nd2 0.1672 0.5000 0.1371
Nd3 0.1806 0.5000 0.5620
Ir1 0.1708 0.0000 0.3457
Pb1 0.0000 0.5000 0.0000
Br1 0.0000 0.5000 0.5000
Br2 0.1646 0.0000 0.8448

***

# Nd4IrPdBr2, relaxed, DFT PBE
# **Total moment**: 0.0 μB per cell
# **Uncorrected formation energy**: -1.063 eV/atom
# **Crystal system**: monoclinic
# **Electronic total energy**: -5.6216 eV/atom
data_Nd4IrPdBr2
_chemical_formula_sum 'Nd4 Ir1 Pd1 Br2'
_cell_length_a 7.2639
_cell_length_b 4.1963
_cell_length_c 8.1716
_cell_angle_alpha 90.00
_cell_angle_beta 107.41
_cell_angle_gamma 90.00
_symmetry_space_group_name_H-M 'P 1 2/m 1'
_symmetry_Int_Tables_number 10
_symmetry_space_group_name_Hall '-P 2y'
loop_
_atom_site_label
_atom_site_fract_x
_atom_site_fract_y
_atom_site_fract_z
Nd1 0.2251 0.0000 0.1965
Nd2 0.2573 0.5000 0.8025
Ir1 0.0000 0.5000 0.0000
Pd1 0.5000 0.0000 0.0000
Br1 0.0000 0.0000 0.5000
Br2 0.5000 0.5000 0.5000